First-principles (GGA-PBE) data for LaTbSc after structural relaxation, as listed in OQMD via LeMat-Bulk.

Output
Space-group type ... F-43m (216)
ΔE to the lowest computed polymorph ... 0 meV/atom
ρ ... 5.33 Mg/m³
M_tot ... 0.19 μB per atom

Unit cell a=5.326 b=5.326 c=5.326 alpha=60.00 beta=60.00 gamma=60.00
Sites, in units of the cell vectors:
La1 0.250 0.250 0.250
Sc1 0.000 0.000 0.000
Tb1 0.750 0.750 0.750

***

First-principles (GGA-PBE) data for LaScTc after structural relaxation, as listed in OQMD via LeMat-Bulk.

Output
Space-group type ... F-43m (216)
ΔE to the lowest computed polymorph ... 0 meV/atom
ρ ... 6.26 Mg/m³
M_tot ... 0.00 μB per atom

Unit cell a=4.728 b=4.728 c=4.728 alpha=60.00 beta=60.00 gamma=60.00
Sites, in units of the cell vectors:
Sc1 0.750 0.750 0.750
La1 0.250 0.250 0.250
Tc1 0.000 0.000 0.000

***

First-principles (GGA-PBE) data for LaThSc after structural relaxation, as listed in OQMD via LeMat-Bulk.

Output
Space-group type ... F-43m (216)
E ... -16.67 eV per cell
ρ ... 6.57 Mg/m³
M_tot ... 0.00 μB per atom

Unit cell a=5.298 b=5.298 c=5.298 alpha=60.00 beta=60.00 gamma=60.00
Sites, in units of the cell vectors:
Th1 0.750 0.750 0.750
La1 0.250 0.250 0.250
Sc1 0.000 0.000 0.000

***

First-principles (GGA-PBE) data for LaTmSc after structural relaxation, as listed in OQMD via LeMat-Bulk.

Output
Space-group type ... F-43m (216)
ΔE to the lowest computed polymorph ... 0 meV/atom
ρ ... 5.59 Mg/m³
M_tot ... 0.24 μB per atom

Unit cell a=5.293 b=5.293 c=5.293 alpha=60.00 beta=60.00 gamma=60.00
Sites, in units of the cell vectors:
Sc1 0.000 0.000 0.000
Tm1 0.750 0.750 0.750
La1 0.250 0.250 0.250

***

First-principles (GGA-PBE) data for LaY2Sc2 after structural relaxation, as listed in OQMD via LeMat-Bulk.

Output
Space-group type ... I4/mmm (139)
E ... -28.54 eV per cell
ρ ... 4.46 Mg/m³
M_tot ... 0.28 μB per atom

Unit cell a=8.245 b=8.245 c=8.245 alpha=148.63 beta=148.63 gamma=44.96
Sites, in units of the cell vectors:
Sc1 0.750 0.250 0.500
Sc2 0.250 0.750 0.500
Y1 0.598 0.598 0.000
Y2 0.402 0.402 0.000
La1 0.000 0.000 0.000

***

First-principles (GGA-PBE) data for LaY2Sc2 after structural relaxation, as listed in OQMD via LeMat-Bulk.

Output
Space-group type ... I4/mmm (139)
E ... -28.54 eV per cell
ρ ... 4.38 Mg/m³
M_tot ... 0.11 μB per atom

Unit cell a=4.539 b=4.539 c=8.150 alpha=106.17 beta=106.17 gamma=90.00
Last column: magnetic moment on the atom in μB.
Sites, in units of the cell vectors:
Y1 0.250 0.750 0.500  0.01
Y2 0.750 0.250 0.500  0.01
Sc1 0.407 0.407 0.814  0.10
Sc2 0.593 0.593 0.186  0.10
La1 0.000 0.000 0.000  0.05

***

First-principles (GGA-PBE) data for LaSc2Zn after structural relaxation, as listed in OQMD via LeMat-Bulk.

Output
Space-group type ... F-43m (216)
E ... -18.84 eV per cell
ρ ... 4.95 Mg/m³
M_tot ... 0.14 μB per atom

Unit cell a=5.188 b=5.188 c=5.188 alpha=60.00 beta=60.00 gamma=60.00
Last column: magnetic moment on the atom in μB.
Sites, in units of the cell vectors:
La1 0.250 0.250 0.250  0.05
Sc1 0.750 0.750 0.750  0.13
Sc2 0.000 0.000 0.000  0.17
Zn1 0.500 0.500 0.500  -0.01

***

First-principles (GGA-PBE) data for La2SmSe3 after structural relaxation, as listed in OQMD via LeMat-Bulk.

Output
Space-group type ... P-3m1 (164)
E ... -36.68 eV per cell
ρ ... 6.72 Mg/m³
M_tot ... 0.00 μB per atom

Unit cell a=4.257 b=4.257 c=10.465 alpha=90.00 beta=90.00 gamma=120.00
Sites, in units of the cell vectors:
Sm1 0.000 0.000 0.500
Se1 0.333 0.667 0.658
Se2 0.000 0.000 0.000
Se3 0.667 0.333 0.342
La1 0.667 0.333 0.830
La2 0.333 0.667 0.170

***

First-principles (GGA-PBE) data for LaSm2Se3 after structural relaxation, as listed in OQMD via LeMat-Bulk.

Output
Space-group type ... P-3m1 (164)
E ... -36.10 eV per cell
ρ ... 7.09 Mg/m³
M_tot ... 0.00 μB per atom

Unit cell a=4.206 b=4.206 c=10.347 alpha=90.00 beta=90.00 gamma=120.00
Sites, in units of the cell vectors:
Sm1 0.333 0.667 0.663
Sm2 0.667 0.333 0.337
La1 0.000 0.000 0.000
Se1 0.333 0.667 0.176
Se2 0.667 0.333 0.824
Se3 0.000 0.000 0.500

***

First-principles (GGA-PBE) data for La4Sm4Se3 after structural relaxation, as listed in OQMD via LeMat-Bulk.

Output
Space-group type ... Amm2 (38)
E ... -57.70 eV per cell
ρ ... 6.96 Mg/m³
M_tot ... 0.00 μB per atom

Unit cell a=10.655 b=8.618 c=8.618 alpha=24.85 beta=90.00 gamma=90.00
Sites, in units of the cell vectors:
La1 0.764 0.239 0.239
La2 0.236 0.239 0.239
La3 0.500 0.092 0.092
La4 0.000 0.084 0.084
Se1 0.740 0.591 0.591
Se2 0.260 0.591 0.591
Se3 0.000 0.738 0.738
Sm1 0.000 0.384 0.384
Sm2 0.732 0.944 0.944
Sm3 0.500 0.349 0.349
Sm4 0.268 0.944 0.944

***

First-principles (GGA-PBE) data for LaSmSe2 after structural relaxation, as listed in OQMD via LeMat-Bulk.

Output
Space-group type ... P4/mmm (123)
E ... -24.21 eV per cell
ρ ... 6.88 Mg/m³
M_tot ... 0.00 μB per atom

Unit cell a=4.243 b=4.243 c=5.997 alpha=90.00 beta=90.00 gamma=90.00
Sites, in units of the cell vectors:
Se1 0.500 0.500 0.000
Se2 0.000 0.000 0.500
Sm1 0.500 0.500 0.500
La1 0.000 0.000 0.000

***

First-principles (GGA-PBE) data for La3TaSe after structural relaxation, as listed in OQMD via LeMat-Bulk.

Output
Space-group type ... P-31m (162)
E ... -57.77 eV per cell
ρ ... 7.01 Mg/m³
M_tot ... 0.00 μB per atom

Unit cell a=6.581 b=6.581 c=8.547 alpha=90.00 beta=90.00 gamma=120.00
Sites, in units of the cell vectors:
La1 0.481 0.000 0.775
La2 0.000 0.481 0.775
La3 0.519 0.000 0.225
La4 0.519 0.519 0.775
La5 0.000 0.519 0.225
La6 0.481 0.481 0.225
Ta1 0.333 0.667 0.500
Ta2 0.667 0.333 0.500
Se1 0.000 0.000 0.229
Se2 0.000 0.000 0.771

***

First-principles (GGA-PBE) data for LaTb2Se3 after structural relaxation, as listed in OQMD via LeMat-Bulk.

Output
Space-group type ... P-3m1 (164)
E ... -35.75 eV per cell
ρ ... 7.54 Mg/m³
M_tot ... 0.00 μB per atom

Unit cell a=4.138 b=4.138 c=10.299 alpha=90.00 beta=90.00 gamma=120.00
Sites, in units of the cell vectors:
Tb1 0.667 0.333 0.838
Tb2 0.333 0.667 0.162
Se1 0.000 0.000 0.000
Se2 0.333 0.667 0.682
Se3 0.667 0.333 0.318
La1 0.000 0.000 0.500

***

First-principles (GGA-PBE) data for La2ThSe5 after structural relaxation, as listed in OQMD via LeMat-Bulk.

Output
Space-group type ... Pnma (62)
E ... -201.76 eV per cell
ρ ... 6.85 Mg/m³
M_tot ... 0.00 μB per atom

Unit cell a=12.643 b=8.696 c=7.979 alpha=90.00 beta=90.00 gamma=90.00
Sites, in units of the cell vectors:
La1 0.677 0.000 0.974
La2 0.323 0.000 0.026
La3 0.323 0.500 0.026
La4 0.177 0.000 0.526
La5 0.823 0.000 0.474
La6 0.677 0.500 0.974
La7 0.823 0.500 0.474
La8 0.177 0.500 0.526
Se1 0.783 0.750 0.195
Se2 0.812 0.250 0.166
Se3 0.999 0.250 0.542
Se4 0.403 0.956 0.666
Se5 0.688 0.750 0.666
Se6 0.283 0.750 0.305
Se7 0.097 0.456 0.166
Se8 0.499 0.250 0.958
Se9 0.903 0.544 0.834
Se10 0.312 0.250 0.334
Se11 0.188 0.750 0.834
Se12 0.217 0.250 0.805
Se13 0.597 0.456 0.334
Se14 0.903 0.956 0.834
Se15 0.403 0.544 0.666
Se16 0.717 0.250 0.695
Se17 0.097 0.044 0.166
Se18 0.597 0.044 0.334
Se19 0.501 0.750 0.042
Se20 0.001 0.750 0.458
Th1 0.009 0.750 0.076
Th2 0.491 0.250 0.576
Th3 0.509 0.750 0.424
Th4 0.991 0.250 0.924

***

First-principles (GGA-PBE) data for LaTlZnSe3 after structural relaxation, as listed in OQMD via LeMat-Bulk.

Output
Space-group type ... Pnma (62)
ΔE to the lowest computed polymorph ... 20 meV/atom
ρ ... 5.75 Mg/m³
M_tot ... 0.00 μB per atom

Unit cell a=14.923 b=4.276 c=11.682 alpha=90.00 beta=90.00 gamma=90.00
Sites, in units of the cell vectors:
Tl1 0.762 0.750 0.043
Tl2 0.238 0.250 0.957
Tl3 0.262 0.750 0.457
Tl4 0.738 0.250 0.543
La1 0.977 0.750 0.338
La2 0.477 0.750 0.162
La3 0.023 0.250 0.662
La4 0.523 0.250 0.838
Se1 0.079 0.750 0.107
Se2 0.579 0.750 0.393
Se3 0.400 0.750 0.926
Se4 0.640 0.750 0.737
Se5 0.421 0.250 0.607
Se6 0.100 0.250 0.426
Se7 0.140 0.750 0.763
Se8 0.360 0.250 0.263
Se9 0.921 0.250 0.893
Se10 0.900 0.750 0.574
Se11 0.600 0.250 0.074
Se12 0.860 0.250 0.237
Zn1 0.017 0.750 0.905
Zn2 0.483 0.250 0.405
Zn3 0.517 0.750 0.595
Zn4 0.983 0.250 0.095

***

First-principles (GGA-PBE) data for LaTlZnSe3 after structural relaxation, as listed in OQMD via LeMat-Bulk.

Output
Space-group type ... Pnma (62)
ΔE to the lowest computed polymorph ... 75 meV/atom
ρ ... 6.59 Mg/m³
M_tot ... 0.00 μB per atom

Unit cell a=8.709 b=4.458 c=16.771 alpha=90.00 beta=90.00 gamma=90.00
Sites, in units of the cell vectors:
Se1 0.371 0.250 0.551
Se2 0.195 0.250 0.782
Se3 0.004 0.750 0.593
Se4 0.871 0.250 0.949
Se5 0.496 0.250 0.093
Se6 0.695 0.250 0.718
Se7 0.504 0.750 0.907
Se8 0.629 0.750 0.449
Se9 0.996 0.250 0.407
Se10 0.805 0.750 0.218
Se11 0.305 0.750 0.282
Se12 0.129 0.750 0.051
Zn1 0.358 0.750 0.139
Zn2 0.142 0.250 0.639
Zn3 0.642 0.250 0.861
Zn4 0.858 0.750 0.361
La1 0.750 0.750 0.048
La2 0.750 0.250 0.548
La3 0.250 0.750 0.452
La4 0.250 0.250 0.952
Tl1 0.071 0.250 0.212
Tl2 0.571 0.250 0.288
Tl3 0.929 0.750 0.788
Tl4 0.429 0.750 0.712

***

First-principles (GGA-PBE) data for LaTlZnSe3 after structural relaxation, as listed in OQMD via LeMat-Bulk.

Output
Space-group type ... Cmcm (63)
ΔE to the lowest computed polymorph ... 0 meV/atom
ρ ... 5.92 Mg/m³
M_tot ... 0.00 μB per atom

Unit cell a=7.678 b=7.678 c=11.507 alpha=90.00 beta=90.00 gamma=147.72
Sites, in units of the cell vectors:
La1 0.000 0.000 0.000
La2 0.000 0.000 0.500
Tl1 0.246 0.754 0.250
Tl2 0.754 0.246 0.750
Se1 0.067 0.933 0.750
Se2 0.933 0.067 0.250
Se3 0.630 0.370 0.075
Se4 0.370 0.630 0.575
Se5 0.370 0.630 0.925
Se6 0.630 0.370 0.425
Zn1 0.466 0.534 0.750
Zn2 0.534 0.466 0.250

***

First-principles (GGA-PBE) data for LaTlZnSe3 after structural relaxation, as listed in OQMD via LeMat-Bulk.

Output
Space-group type ... C2/m (12)
ΔE to the lowest computed polymorph ... 152 meV/atom
ρ ... 6.36 Mg/m³
M_tot ... 0.00 μB per atom

Unit cell a=9.144 b=9.144 c=9.242 alpha=110.00 beta=110.00 gamma=27.79
Sites, in units of the cell vectors:
Se1 0.653 0.653 0.896
Se2 0.000 0.000 0.000
Se3 0.346 0.346 0.671
Se4 0.654 0.654 0.329
Se5 0.500 0.500 0.500
Se6 0.347 0.347 0.104
La1 0.182 0.182 0.136
La2 0.818 0.818 0.864
Zn1 0.504 0.504 0.207
Zn2 0.496 0.496 0.793
Tl1 0.131 0.131 0.589
Tl2 0.869 0.869 0.411

***

First-principles (GGA-PBE) data for LaTlZnSe3 after structural relaxation, as listed in OQMD via LeMat-Bulk.

Output
Space-group type ... P2_1/m (11)
ΔE to the lowest computed polymorph ... 23 meV/atom
ρ ... 5.81 Mg/m³
M_tot ... 0.00 μB per atom

Unit cell a=8.416 b=4.277 c=10.632 alpha=90.00 beta=105.52 gamma=90.00
Sites, in units of the cell vectors:
La1 0.294 0.750 0.865
La2 0.706 0.250 0.135
Se1 0.037 0.250 0.831
Se2 0.788 0.250 0.442
Se3 0.963 0.750 0.169
Se4 0.460 0.750 0.149
Se5 0.212 0.750 0.558
Se6 0.540 0.250 0.851
Zn1 0.071 0.250 0.608
Zn2 0.929 0.750 0.392
Tl1 0.275 0.250 0.296
Tl2 0.725 0.750 0.704

***

First-principles (GGA-PBE) data for LaTlZnSe3 after structural relaxation, as listed in OQMD via LeMat-Bulk.

Output
Space-group type ... Pnma (62)
ΔE to the lowest computed polymorph ... 0 meV/atom
ρ ... 5.99 Mg/m³
M_tot ... 0.00 μB per atom

Unit cell a=11.526 b=4.290 c=14.471 alpha=90.00 beta=90.00 gamma=90.00
Sites, in units of the cell vectors:
Zn1 0.261 0.250 0.285
Zn2 0.739 0.750 0.715
Zn3 0.761 0.250 0.215
Zn4 0.239 0.750 0.785
Se1 0.450 0.250 0.366
Se2 0.748 0.250 0.816
Se3 0.252 0.750 0.184
Se4 0.550 0.750 0.634
Se5 0.900 0.750 0.604
Se6 0.400 0.750 0.896
Se7 0.600 0.250 0.104
Se8 0.752 0.750 0.316
Se9 0.050 0.750 0.866
Se10 0.100 0.250 0.396
Se11 0.950 0.250 0.134
Se12 0.248 0.250 0.684
La1 0.010 0.750 0.272
La2 0.990 0.250 0.728
La3 0.490 0.250 0.772
La4 0.510 0.750 0.228
Tl1 0.200 0.250 0.999
Tl2 0.700 0.250 0.501
Tl3 0.300 0.750 0.499
Tl4 0.800 0.750 0.001